# La3Pr3YTe8, relaxed, DFT PBE-GGA
# * crystal system: trigonal
# * VASP energy: -5.57 eV/atom
# * energy relative to the elements, uncorrected: -147.06 kJ per mole of atoms
data_La3Pr3YTe8
_symmetry_space_group_name_H-M 'R -3 m'
_symmetry_Int_Tables_number 166
_symmetry_space_group_name_Hall '-R 3 2"'
_cell_length_a 9.0497
_cell_length_b 9.0497
_cell_length_c 22.3109
_cell_angle_alpha 90.00
_cell_angle_beta 90.00
_cell_angle_gamma 120.00
loop_
_atom_site_label
_atom_site_type_symbol
_atom_site_fract_x
_atom_site_fract_y
_atom_site_fract_z
La1 La 0.0000 0.5000 0.0000
Pr1 Pr 0.0000 0.5000 0.5000
Y1 Y 0.0000 0.0000 0.5000
Te1 Te 0.0000 0.0000 0.2494
Te2 Te 0.0035 0.5018 0.2484


# HoScCd, relaxed, DFT PBE-GGA
# * crystal system: tetragonal
# * ΔH_f (0 K): -99 meV/atom
# * polymorph energy (0 for the lowest one): 0.076 eV per atom
# * VASP energy: -4.04 eV/atom
data_HoScCd
_symmetry_space_group_name_H-M 'P 4/n m m'
_symmetry_Int_Tables_number 129
_cell_length_a 3.378
_cell_length_b 3.378
_cell_length_c 13.471
_cell_angle_alpha 90.00
_cell_angle_beta 90.00
_cell_angle_gamma 90.00
loop_
_symmetry_equiv_pos_as_xyz
'x,y,z'
'-x,-y,-z'
'-y+1/2,x,z'
'y+1/2,-x,-z'
'-x+1/2,-y+1/2,z'
'x+1/2,y+1/2,-z'
'y,-x+1/2,z'
'-y,x+1/2,-z'
'x+1/2,-y,-z'
'-x+1/2,y,z'
'-y,-x,-z'
'y,x,z'
'-x,y+1/2,-z'
'x,-y+1/2,z'
'y+1/2,x+1/2,-z'
'-y+1/2,-x+1/2,z'
loop_
_atom_site_label
_atom_site_type_symbol
_atom_site_fract_x
_atom_site_fract_y
_atom_site_fract_z
Ho1 Ho 0.250 0.250 0.239
Sc1 Sc 0.250 0.250 0.582
Cd1 Cd 0.250 0.250 0.927


# TlBiPbSe3, relaxed, DFT PBE-GGA
# * crystal system: monoclinic
# * VASP energy: -3.80 eV/atom
# * energy relative to the elements, uncorrected: -38.91 kJ per mole of atoms
data_TlBiPbSe3
_symmetry_space_group_name_H-M 'P 1 21/m 1'
_symmetry_Int_Tables_number 11
_symmetry_space_group_name_Hall '-P 2yb'
_cell_length_a 9.098
_cell_length_b 4.248
_cell_length_c 10.321
_cell_angle_alpha 90.00
_cell_angle_beta 91.29
_cell_angle_gamma 90.00
loop_
_atom_site_label
_atom_site_type_symbol
_atom_site_fract_x
_atom_site_fract_y
_atom_site_fract_z
Tl1 Tl 0.139 0.250 0.176
Bi1 Bi 0.377 0.750 0.861
Pb1 Pb 0.146 0.250 0.591
Se1 Se 0.144 0.250 0.873
Se2 Se 0.348 0.750 0.575
Se3 Se 0.398 0.750 0.148


# La2Pd2Pt, relaxed, DFT PBE-GGA
# * crystal system: tetragonal
# * ΔH_f (0 K): -774 meV/atom
# * polymorph energy (0 for the lowest one): 0.144 eV per atom
# * VASP energy: -6.03 eV/atom
data_La2Pd2Pt
_symmetry_space_group_name_H-M 'I 4/m m m'
_symmetry_Int_Tables_number 139
_symmetry_space_group_name_Hall '-I 4 2'
_cell_length_a 3.846
_cell_length_b 3.846
_cell_length_c 16.074
_cell_angle_alpha 90.00
_cell_angle_beta 90.00
_cell_angle_gamma 90.00
loop_
_atom_site_label
_atom_site_type_symbol
_atom_site_fract_x
_atom_site_fract_y
_atom_site_fract_z
La1 La 0.000 0.000 0.106
Pd1 Pd 0.000 0.500 0.250
Pt1 Pt 0.000 0.000 0.500


What did we get for theoretical density? Answer: 6.14, 6.96, 7.14, 9.58 g/cm³, in the order shown.